Record 1
# VRu3I, optimized geometry, DFT PBE
data_VRu3I
_chemical_formula_sum 'V1 Ru3 I1'
_cell_length_a 4.579
_cell_length_b 4.579
_cell_length_c 4.579
_cell_angle_alpha 90.00
_cell_angle_beta 90.00
_cell_angle_gamma 90.00
_space_group_name_H-M_alt 'P m -3 m'
_space_group_IT_number 221
_space_group_name_Hall '-P 4 2 3'
loop_
_atom_site_label
_atom_site_fract_x
_atom_site_fract_y
_atom_site_fract_z
V1 0.000 0.000 0.000
Ru1 0.000 0.000 0.500
I1 0.500 0.500 0.500
# Raw formation energy   1.341 eV/atom
# Raw total energy   -6.358 eV per atom

=====

Record 2
# Er3Tm3Th, optimized geometry, DFT PBE
data_Er3Tm3Th
_chemical_formula_sum 'Er12 Tm12 Th4'
_cell_length_a 12.829
_cell_length_b 5.310
_cell_length_c 13.203
_cell_angle_alpha 90.00
_cell_angle_beta 90.00
_cell_angle_gamma 90.00
_space_group_name_H-M_alt 'P n m a'
_space_group_IT_number 62
loop_
_space_group_symop_operation_xyz
'x,y,z'
'-x,-y,-z'
'-x+1/2,-y,z+1/2'
'x+1/2,y,-z+1/2'
'x+1/2,-y+1/2,-z+1/2'
'-x+1/2,y+1/2,z+1/2'
'-x,y+1/2,-z'
'x,-y+1/2,z'
loop_
_atom_site_label
_atom_site_fract_x
_atom_site_fract_y
_atom_site_fract_z
Er1 0.046 0.250 0.179
Er2 0.177 0.750 0.550
Er3 0.212 0.750 0.803
Tm1 0.076 0.250 0.441
Tm2 0.083 0.250 0.936
Tm3 0.186 0.750 0.100
Th1 0.040 0.250 0.687
# Raw total energy   -4.713 eV per atom
# Formation energy from the elements   0.219 eV/atom

=====

Record 3
# CrTeP2, optimized geometry, DFT PBE
data_CrTeP2
_chemical_formula_sum 'Cr4 Te4 P8'
_cell_length_a 5.797
_cell_length_b 5.797
_cell_length_c 10.719
_cell_angle_alpha 90.00
_cell_angle_beta 90.00
_cell_angle_gamma 90.00
_space_group_name_H-M_alt 'I -4 2 d'
_space_group_IT_number 122
_space_group_name_Hall 'I -4 2bw'
loop_
_atom_site_label
_atom_site_fract_x
_atom_site_fract_y
_atom_site_fract_z
Cr1 0.000 0.000 0.000
Te1 0.000 0.000 0.500
P1 0.170 0.250 0.125
# Raw formation energy   0.349 eV/atom
# Raw total energy   -5.547 eV per atom

=====

Record 4
# KTe2Se, optimized geometry, DFT PBE
data_KTe2Se
_chemical_formula_sum 'K2 Te4 Se2'
_cell_length_a 6.430
_cell_length_b 11.965
_cell_length_c 3.157
_cell_angle_alpha 90.00
_cell_angle_beta 107.54
_cell_angle_gamma 90.00
_space_group_name_H-M_alt 'C 1 2/m 1'
_space_group_IT_number 12
loop_
_space_group_symop_operation_xyz
'x,y,z'
'-x,-y,-z'
'-x,y,-z'
'x,-y,z'
'x+1/2,y+1/2,z'
'-x+1/2,-y+1/2,-z'
'-x+1/2,y+1/2,-z'
'x+1/2,-y+1/2,z'
loop_
_atom_site_label
_atom_site_fract_x
_atom_site_fract_y
_atom_site_fract_z
K1 0.000 0.000 0.000
Te1 0.250 0.250 0.500
Se1 0.000 0.500 0.000
# Raw formation energy   -0.139 eV/atom
# Raw total energy   -2.855 eV per atom